First-principles (SCAN) data for a crystal of LiTcAg2 relaxed with PBEsol, as listed in the Alexandria database.

Polymorph energy (0 for the lowest one): 155 meV/atom
Magnetic moment: 0.2843 μB per atom
Calculated formation energy: 0.40 eV/atom

Lattice parameters (Å, degrees): 9.2508 2.5971 5.1226 90.00 96.22 90.00
Closest atoms and distances in Å follow each position.
Space group C2/m (No. 12)
Inequivalent atoms, fractional coordinates:
Li (0.0000, 0.0000, 0.0000) [2 per cell]  2 Li 2.60, 6 Ag 2.73-2.86, 4 Tc 2.87
Tc (0.0000, 0.5000, 0.5000) [2 per cell]  2 Tc 2.60, 6 Ag 2.79-2.81, 4 Li 2.87
Ag (0.2468, 0.0000, 0.7509) [4 per cell]  6 Ag 2.60-2.89, 3 Li 2.73-2.86, 3 Tc 2.79-2.81